# PBE with a Hubbard U TiCoRhO6, relaxed
# Fermi-level density of states (states/eV/cell): 11.55
# Total energy (eV per atom): -6.938
data_TiCoRhO6
_space_group_name_H-M_alt 'P -3 1 c'
_space_group_IT_number 163
_space_group_name_Hall '-P 3 2c'
_cell_length_a 5.0102
_cell_length_b 5.0102
_cell_length_c 8.7071
_cell_angle_alpha 90.00
_cell_angle_beta 90.00
_cell_angle_gamma 120.00
loop_
_atom_site_label
_atom_site_fract_x
_atom_site_fract_y
_atom_site_fract_z
_atom_site_occupancy
Ti1 0.3333 0.6667 0.2500 1
Co1 0.0000 0.0000 0.0000 1
Rh1 0.3333 0.6667 0.7500 1
O1 0.0028 0.3418 0.1268 1